1:
BaSc2Ag | PBE-GGA | optimized geometry

Summary:
Space-group type = C2/m, No. 12
Magnetic moment = 0.02 μB/cell
N(E_F) = 1.5783 states/eV/atom

Cell: 6.770 5.698 3.367 Å, 88.82 76.11 114.56°
Sites, in units of the cell vectors:
Sc (0.000, 0.000, 0.000)
Sc (0.000, 0.500, 0.500)
Ba (0.500, 0.000, 0.500)
Ag (0.500, 0.500, 0.000)

=====

2:
BaSc2Ag | PBE-GGA | optimized geometry

Summary:
Space-group type = I4/mmm, No. 139
Magnetic moment = 1.12 μB/cell
N(E_F) = 1.4582 states/eV/atom

Cell: 6.408 6.408 6.408 Å, 138.16 138.16 60.66°
Sites, in units of the cell vectors:
Ag (0.750, 0.250, 0.500)
Sc (0.000, 0.000, 0.000)
Sc (0.500, 0.500, 0.000)
Ba (0.250, 0.750, 0.500)

=====

3:
BaSc2Ag | PBE-GGA | optimized geometry

Summary:
Space-group type = R-3m, No. 166
Magnetic moment = 0.00 μB/cell
N(E_F) = 1.7520 states/eV/atom

Cell: 10.513 10.513 10.513 Å, 19.92 19.92 19.92°
Sites, in units of the cell vectors:
Sc (0.980, 0.980, 0.980)
Sc (0.520, 0.520, 0.520)
Ag (0.250, 0.250, 0.250)
Ba (0.750, 0.750, 0.750)

=====

The data favor 3; the next most stable structure lies 37 meV/atom above it.

=====

1:
BaSc2Ag | PBE-GGA | optimized geometry

Summary:
Space-group type = R-3m, No. 166
Magnetic moment = 0.06 μB/cell
N(E_F) = 1.5088 states/eV/atom

Cell: 11.362 11.362 11.362 Å, 17.35 17.35 17.35°
Sites, in units of the cell vectors:
Ba (0.000, 0.000, 0.000)
Sc (0.897, 0.897, 0.897)
Sc (0.103, 0.103, 0.103)
Ag (0.500, 0.500, 0.500)

=====

2:
BaSc2Ag | PBE-GGA | optimized geometry

Summary:
Space-group type = P4mm, No. 99
Magnetic moment = 0.68 μB/cell
N(E_F) = 1.1720 states/eV/atom

Cell: 3.741 3.735 9.128 Å, 65.83 90.00 90.00°
Sites, in units of the cell vectors:
Ag (0.000, 0.562, 0.437)
Sc (0.000, 0.937, 0.063)
Sc (0.500, 0.223, 0.278)
Ba (0.500, 0.778, 0.722)

=====

3:
BaSc2Ag | PBE-GGA | optimized geometry

Summary:
Space-group type = Fm-3m, No. 225
Magnetic moment = 1.14 μB/cell
N(E_F) = 1.5098 states/eV/atom

Cell: 5.257 5.257 5.257 Å, 60.00 60.00 60.00°
Sites, in units of the cell vectors:
Ag (0.000, 0.000, 0.000)
Ba (0.500, 0.500, 0.500)
Sc (0.750, 0.750, 0.750)
Sc (0.250, 0.250, 0.250)

=====

The data favor 2; the next most stable structure lies 279 meV/atom above it.